Here is a geometry-optimized RbAgP3 structure from Alexandria via LeMat-Bulk. Energies are from GGA-PBE.

Values from the calculation:
**E_tot**: -9.167 eV for the cell shown
**N(E_F)**: 1.664 states/eV/atom
**ΔE to the lowest computed polymorph**: 1392 meV per atom

a = 5.458 Å, b = 5.458 Å, c = 5.458 Å
α = 90.00°, β = 90.00°, γ = 90.00°
Space group Pm-3m (No. 221)
Unique sites:
Rb (0.000, 0.000, 0.000) (multiplicity 1)
Ag (0.500, 0.500, 0.500) (multiplicity 1)
P (0.000, 0.000, 0.500) (multiplicity 3)